No. 1
A relaxed Cs2Tl5Bi3 crystal. Source: Alexandria, functional PBE-GGA.

Output
As for the symmetry: Ibam (72). The formation energy is -1.645 eV per formula unit. Its total energy is -2.683 eV per atom.

Cell lengths 7.4946, 11.1107, 11.1107 Å; angles 76.46, 70.29, 70.29 degrees
Positions (direct):
Tl (0.9944, 0.2556, 0.2556)
Tl (0.5056, 0.7444, 0.7444)
Tl (0.8748, 0.9972, 0.2533)
Tl (0.6252, 0.7467, 0.0028)
Tl (0.3748, 0.2533, 0.9972)
Tl (0.0056, 0.7444, 0.7444)
Tl (0.1252, 0.0028, 0.7467)
Tl (0.2500, 0.5000, 0.5000)
Tl (0.7500, 0.5000, 0.5000)
Tl (0.4944, 0.2556, 0.2556)
Bi (0.2500, 0.0000, 0.0000)
Bi (0.3788, 0.4889, 0.7536)
Bi (0.8788, 0.7536, 0.4889)
Bi (0.6212, 0.5111, 0.2464)
Bi (0.1212, 0.2464, 0.5111)
Bi (0.7500, 0.0000, 0.0000)
Cs (0.3770, 0.8761, 0.3698)
Cs (0.8770, 0.3698, 0.8761)
Cs (0.1230, 0.6302, 0.1239)
Cs (0.6230, 0.1239, 0.6302)

No. 2
A relaxed Cs5TlBi2 crystal. Source: Alexandria, functional PBE-GGA.

Output
As for the symmetry: R-3m (166). The formation energy is -1.961 eV per formula unit. Its total energy is -2.045 eV per atom.

Cell lengths 6.6705, 6.6705, 12.3832 Å; angles 74.38, 74.38, 60.00 degrees
Positions (direct):
Cs (0.2180, 0.2180, 0.3459)
Cs (0.7820, 0.7820, 0.6541)
Cs (0.5000, 0.5000, 0.5000)
Cs (0.6248, 0.6248, 0.1256)
Cs (0.3752, 0.3752, 0.8744)
Bi (0.9080, 0.9080, 0.2761)
Bi (0.0920, 0.0920, 0.7239)
Tl (0.0000, 0.0000, 0.0000)

No. 3
A relaxed CsTl4Bi crystal. Source: Alexandria, functional PBE-GGA.

Output
The value obtained for the excess energy over the best structure of this formula in the dataset is 0 meV per atom. As for the symmetry: Pmma (51). The formation energy is -0.621 eV per formula unit. Its total energy is -2.470 eV per atom.

Cell lengths 4.6079, 9.4361, 10.8722 Å; angles 90.00, 90.00, 90.00 degrees
Positions (direct):
Bi (0.0000, 0.2232, 0.7500)
Bi (0.0000, 0.7768, 0.2500)
Tl (0.5000, 0.7183, 0.0407)
Tl (0.5000, 0.9659, 0.7500)
Tl (0.0000, 0.0000, 0.5000)
Tl (0.0000, 0.0000, 0.0000)
Tl (0.5000, 0.2817, 0.5407)
Tl (0.5000, 0.0341, 0.2500)
Tl (0.5000, 0.7183, 0.4593)
Tl (0.5000, 0.2817, 0.9593)
Cs (0.0000, 0.3719, 0.2500)
Cs (0.0000, 0.6281, 0.7500)

No. 4
A relaxed Cs3Tl2Bi3 crystal. Source: Alexandria, functional PBE-GGA.

Output
The value obtained for the excess energy over the best structure of this formula in the dataset is 4 meV per atom. As for the symmetry: Cmcm (63). The formation energy is -2.225 eV per formula unit. Its total energy is -2.645 eV per atom.

Cell lengths 5.9882, 7.2243, 18.3548 Å; angles 90.00, 90.00, 114.48 degrees
Positions (direct):
Tl (0.8004, 0.6007, 0.5884)
Tl (0.1996, 0.3993, 0.4116)
Tl (0.8004, 0.6007, 0.9116)
Tl (0.1996, 0.3993, 0.0884)
Cs (0.9026, 0.8052, 0.3796)
Cs (0.0974, 0.1948, 0.6204)
Cs (0.0974, 0.1948, 0.8796)
Cs (0.4067, 0.8134, 0.7500)
Cs (0.5933, 0.1866, 0.2500)
Cs (0.9026, 0.8052, 0.1204)
Bi (0.2814, 0.5628, 0.2500)
Bi (0.3920, 0.7840, 0.5295)
Bi (0.7186, 0.4372, 0.7500)
Bi (0.6080, 0.2160, 0.0295)
Bi (0.3920, 0.7840, 0.9705)
Bi (0.6080, 0.2160, 0.4705)

No. 5
A relaxed CsTl2Bi crystal. Source: Alexandria, functional PBE-GGA.

Output
As for the symmetry: Immm (71). The formation energy is 0.170 eV per formula unit. Its total energy is -2.324 eV per atom.

Cell lengths 7.9448, 7.9448, 7.9448 Å; angles 57.30, 140.44, 140.28 degrees
Positions (direct):
Bi (0.0000, 0.5000, 0.5000)
Cs (0.0000, 0.0000, 0.0000)
Tl (0.0000, 0.2858, 0.2858)
Tl (0.0000, 0.7142, 0.7142)

No. 6
A relaxed Cs2Tl2Bi crystal. Source: Alexandria, functional PBE-GGA.

Output
The value obtained for the excess energy over the best structure of this formula in the dataset is 0 meV per atom. As for the symmetry: C2/m (12). The formation energy is -1.099 eV per formula unit. Its total energy is -2.284 eV per atom.

Cell lengths 5.4272, 7.8419, 12.4229 Å; angles 89.04, 77.38, 69.76 degrees
Positions (direct):
Tl (0.6232, 0.8612, 0.8925)
Tl (0.8763, 0.7971, 0.4503)
Tl (0.3768, 0.1388, 0.1075)
Tl (0.1237, 0.2029, 0.5497)
Cs (0.6565, 0.3446, 0.3423)
Cs (0.3435, 0.6554, 0.6577)
Cs (0.9137, 0.2924, 0.8802)
Cs (0.0863, 0.7076, 0.1198)
Bi (0.6265, 0.0706, 0.6764)
Bi (0.3735, 0.9294, 0.3236)